VASP calculation (PBE) on U2PaSn9 after structural relaxation.

Energy relative to the elements: -0.196 eV per atom
N(E_F): 1.551 states/eV per atom

abc: 4.6403 4.6403 13.8509
angles: 90.00 90.00 90.00
Sites, in units of the cell vectors:
Sn 0.5000 0.0000 0.5000
Sn 0.0000 0.5000 0.1675
Sn 0.0000 0.5000 0.8325
Sn 0.5000 0.5000 0.0000
Sn 0.5000 0.5000 0.6664
Sn 0.5000 0.5000 0.3336
Sn 0.0000 0.5000 0.5000
Sn 0.5000 0.0000 0.8325
Sn 0.5000 0.0000 0.1675
U 0.0000 0.0000 0.3334
U 0.0000 0.0000 0.6666
Pa 0.0000 0.0000 0.0000